# 1
The following is a DFT calculation (meta-GGA SCAN) of a crystal of KTa2As relaxed with PBEsol.

```
data_KTa2As
_chemical_formula_sum 'K1 Ta2 As1'
_cell_length_a 2.900
_cell_length_b 2.900
_cell_length_c 9.894
_cell_angle_alpha 90.00
_cell_angle_beta 90.00
_cell_angle_gamma 90.00
_space_group_name_H-M_alt 'P 4 m m'
_space_group_IT_number 99
loop_
_space_group_symop_operation_xyz
'x,y,z'
'-y,x,z'
'-x,-y,z'
'y,-x,z'
'-x,y,z'
'y,x,z'
'x,-y,z'
'-y,-x,z'
loop_
_atom_site_label
_atom_site_fract_x
_atom_site_fract_y
_atom_site_fract_z
K1 0.000 0.000 0.000
Ta1 0.000 0.000 0.547
Ta2 0.500 0.500 0.328
As1 0.500 0.500 0.740
```

Calculated values
Its density of states at the Fermi level is 1.73 states/eV/f.u. The formation energy comes out at 0.272 eV/atom.

=====

# 2
The following is a DFT calculation (meta-GGA SCAN) of a crystal of KTa2TcAs relaxed with PBEsol.

```
data_KTa2TcAs
_chemical_formula_sum 'K1 Ta2 Tc1 As1'
_cell_length_a 4.719
_cell_length_b 4.719
_cell_length_c 5.458
_cell_angle_alpha 90.00
_cell_angle_beta 90.00
_cell_angle_gamma 90.00
_space_group_name_H-M_alt 'P 4/m m m'
_space_group_IT_number 123
_space_group_name_Hall '-P 4 2'
loop_
_atom_site_label
_atom_site_fract_x
_atom_site_fract_y
_atom_site_fract_z
K1 0.000 0.000 0.000
Ta1 0.000 0.500 0.500
Tc1 0.000 0.000 0.500
As1 0.500 0.500 0.000
```

Calculated values
Its density of states at the Fermi level is 4.21 states/eV/f.u. The formation energy comes out at 1.483 eV/atom.

=====

# 3
The following is a DFT calculation (meta-GGA SCAN) of a crystal of KTc4As relaxed with PBEsol.

```
data_KTc4As
_chemical_formula_sum 'K4 Tc16 As4'
_cell_length_a 7.373
_cell_length_b 7.373
_cell_length_c 7.373
_cell_angle_alpha 90.00
_cell_angle_beta 90.00
_cell_angle_gamma 90.00
_space_group_name_H-M_alt 'F -4 3 m'
_space_group_IT_number 216
_space_group_name_Hall 'F -4 2 3'
loop_
_atom_site_label
_atom_site_fract_x
_atom_site_fract_y
_atom_site_fract_z
K1 0.000 0.000 0.000
Tc1 0.123 0.123 0.377
As1 0.250 0.250 0.750
```

Calculated values
Its density of states at the Fermi level is 5.80 states/eV/f.u. The formation energy comes out at 0.977 eV/atom.

=====

# 4
The following is a DFT calculation (meta-GGA SCAN) of a crystal of K2TcAs relaxed with PBEsol.

```
data_K2TcAs
_chemical_formula_sum 'K2 Tc1 As1'
_cell_length_a 2.767
_cell_length_b 2.767
_cell_length_c 10.993
_cell_angle_alpha 90.00
_cell_angle_beta 90.00
_cell_angle_gamma 90.00
_space_group_name_H-M_alt 'P 4/m m m'
_space_group_IT_number 123
_space_group_name_Hall '-P 4 2'
loop_
_atom_site_label
_atom_site_fract_x
_atom_site_fract_y
_atom_site_fract_z
K1 0.000 0.000 0.241
Tc1 0.500 0.500 0.500
As1 0.500 0.500 0.000
```

Calculated values
Its density of states at the Fermi level is 1.72 states/eV/f.u. The formation energy comes out at 0.690 eV/atom.

=====

# 5
The following is a DFT calculation (meta-GGA SCAN) of a crystal of KTc2As2 relaxed with PBEsol.

```
data_KTc2As2
_chemical_formula_sum 'K2 Tc4 As4'
_cell_length_a 3.802
_cell_length_b 3.802
_cell_length_c 14.578
_cell_angle_alpha 90.00
_cell_angle_beta 90.00
_cell_angle_gamma 90.00
_space_group_name_H-M_alt 'I 4/m m m'
_space_group_IT_number 139
_space_group_name_Hall '-I 4 2'
loop_
_atom_site_label
_atom_site_fract_x
_atom_site_fract_y
_atom_site_fract_z
K1 0.000 0.000 0.000
Tc1 0.000 0.500 0.250
As1 0.000 0.000 0.361
```

Calculated values
Its density of states at the Fermi level is 2.37 states/eV/f.u. The formation energy comes out at -0.354 eV/atom.

=====

# 6
The following is a DFT calculation (meta-GGA SCAN) of a crystal of K2TcAs relaxed with PBEsol.

```
data_K2TcAs
_chemical_formula_sum 'K2 Tc1 As1'
_cell_length_a 4.495
_cell_length_b 4.495
_cell_length_c 5.140
_cell_angle_alpha 90.00
_cell_angle_beta 90.00
_cell_angle_gamma 90.00
_space_group_name_H-M_alt 'P 4/m m m'
_space_group_IT_number 123
_space_group_name_Hall '-P 4 2'
loop_
_atom_site_label
_atom_site_fract_x
_atom_site_fract_y
_atom_site_fract_z
K1 0.000 0.000 0.249
Tc1 0.500 0.500 0.500
As1 0.500 0.500 0.000
```

Calculated values
Its density of states at the Fermi level is 2.15 states/eV/f.u. The formation energy comes out at 0.688 eV/atom.

=====

The magnetization results, record by record, are as follows: 0.00 0.00 0.00 0.00 0.17 0.75 μB per atom.